Material: KCaCo2
Method: DFT, PBE
State: relaxed

- ΔH_f (0 K): 0.324 eV/atom
- Distance to the lowest polymorph of the same formula: 0.0000 eV/atom
- E_tot: -4.0037 eV/atom
- Magnetic moment: 2.4 μB per formula unit

Cell lengths 6.7511, 3.8976, 8.7761 Å; angles 90.00, 104.26, 90.00 degrees
Space group Cm (No. 8)
One atom of each set of equivalent atoms:
K1 0.0000 0.0000 0.0000 [2 per cell]
Ca1 0.1685 0.0000 0.5232 [2 per cell]
Co1 0.2630 0.5000 0.2982 [2 per cell]
Co2 0.4295 0.0000 0.2977 [2 per cell]

=====

Material: YPuCo2
Method: DFT, PBE
State: relaxed

- ΔH_f (0 K): -0.078 eV/atom
- E_tot: -8.8296 eV/atom
- Magnetic moment: 4.2 μB per formula unit

Cell lengths 3.8929, 5.7151, 7.0332 Å; angles 90.00, 90.00, 90.00 degrees
Space group Pmc2_1 (No. 26)
One atom of each set of equivalent atoms:
Y1 0.0000 0.1063 0.0000 [2 per cell]
Pu1 0.5000 0.3869 0.6314 [2 per cell]
Co1 0.0000 0.4151 0.3538 [2 per cell]
Co2 0.5000 0.1780 0.3008 [2 per cell]

=====

Material: Sr2Re2Pd
Method: DFT, PBE
State: relaxed

- ΔH_f (0 K): 1.070 eV/atom
- Distance to the lowest polymorph of the same formula: 0.5028 eV/atom
- E_tot: -5.6206 eV/atom
- Magnetic moment: 2.7 μB per formula unit

Cell lengths 6.1640, 6.1640, 7.4408 Å; angles 90.00, 90.00, 90.00 degrees
Space group I4/mmm (No. 139)
One atom of each set of equivalent atoms:
Sr1 0.0000 0.5000 0.2500 [4 per cell]
Re1 0.0000 0.0000 0.1505 [4 per cell]
Pd1 0.0000 0.0000 0.5000 [2 per cell]

=====

Material: Sr2GaRuC
Method: DFT, PBE
State: relaxed

- ΔH_f (0 K): 0.034 eV/atom
- E_tot: -4.9444 eV/atom
- Magnetic moment: 0.0 μB per formula unit

Cell lengths 5.4600, 5.4600, 3.9200 Å; angles 90.00, 90.00, 90.00 degrees
Space group P4/mmm (No. 123)
One atom of each set of equivalent atoms:
Sr1 0.0000 0.5000 0.0000 [2 per cell]
Ga1 0.0000 0.0000 0.5000 [1 per cell]
Ru1 0.5000 0.5000 0.5000 [1 per cell]
C1 0.5000 0.5000 0.0000 [1 per cell]